Below is crystalline RbLiMnS3 at its relaxed geometry, with properties calculated at the PBE level.

Lattice parameters (Å, degrees): 6.679 12.387 6.504 90.00 90.00 90.00
Space group Cmcm (No. 63)
Unique sites:
Rb: 0.000 0.246 0.250
Li: 0.000 0.079 0.750
Mn: 0.000 0.449 0.750
S: 0.000 0.274 0.750
S: 0.230 0.500 0.000

Summary:
D(E_F)   9.31 states/eV per cell
Formation energy from raw total energies   -872 meV per atom
Energy   -4.944 eV per atom